Record 1
VASP calculation (PBE-GGA) on Cd2Pd7Pt2 after structural relaxation. Values from VASP.

Cell and atoms, written as Quantum ESPRESSO input:
```
&SYSTEM
  ibrav = 0, nat = 11, ntyp = 3
/
ATOMIC_SPECIES
Pd 106.42 Pd.upf
Pt 195.08 Pt.upf
Cd 112.41 Cd.upf
CELL_PARAMETERS angstrom
-5.154 1.567 1.303
-0.724 -5.751 4.043
3.221 2.315 3.872
ATOMIC_POSITIONS angstrom
Pd -4.053 -1.314 6.076
Pd -1.183 0.226 3.793
Pd 0.000 0.000 0.000
Pd 0.429 1.384 5.727
Pd -3.087 -3.253 3.491
Pd 1.395 -0.555 3.142
Pd -1.474 -2.095 5.425
Pt -1.950 0.312 6.271
Pt -0.708 -2.181 2.947
Cd -2.568 1.797 2.097
Cd -0.090 -3.666 7.121
```

## Properties
N(E_F) in states/eV per atom: 1.114
Polymorph energy (0 for the lowest one) in meV per atom: 305.4
Raw total energy in eV/atom: -4.329
DFT formation energy in meV per atom: 240
Theoretical density in g/cm3: 10.766

Record 2
VASP calculation (PBE-GGA) on GaSi2Ag after structural relaxation. Values from VASP.

Cell and atoms, written as Quantum ESPRESSO input:
```
&SYSTEM
  ibrav = 0, nat = 8, ntyp = 3
/
ATOMIC_SPECIES
Ga 69.72 Ga.upf
Si 28.09 Si.upf
Ag 107.87 Ag.upf
CELL_PARAMETERS angstrom
6.102 0.000 0.000
0.000 6.102 0.000
3.051 3.051 4.790
ATOMIC_POSITIONS angstrom
Ga 3.051 6.102 2.395
Ga 3.051 3.051 0.000
Si 7.628 7.574 3.592
Si 4.523 1.526 1.197
Si 4.577 4.630 3.592
Si 1.579 4.577 1.197
Ag 6.102 3.051 2.395
Ag 0.000 0.000 0.000
```

## Properties
N(E_F) in states/eV per atom: 0.363
Raw total energy in eV/atom: -3.636
Formation energy (no corrections) in meV/atom: 545
Theoretical density in g/cm3: 4.353

Record 3
VASP calculation (PBE-GGA) on KGdPd4 after structural relaxation. Values from VASP.

Cell and atoms, written as Quantum ESPRESSO input:
```
&SYSTEM
  ibrav = 0, nat = 6, ntyp = 3
/
ATOMIC_SPECIES
Pd 106.42 Pd.upf
K 39.10 K.upf
Gd 157.25 Gd.upf
CELL_PARAMETERS angstrom
5.509 0.000 0.000
2.754 4.771 0.000
2.754 1.590 4.498
ATOMIC_POSITIONS angstrom
Pd 5.509 3.180 0.567
Pd 4.136 3.973 2.809
Pd 6.882 3.973 2.809
Pd 5.509 1.595 2.809
K 0.000 0.000 0.000
Gd 2.754 1.590 1.124
```

## Properties
N(E_F) in states/eV per atom: 0.940
Raw total energy in eV/atom: -6.415
DFT formation energy in meV per atom: -424
Theoretical density in g/cm3: 8.739

Record 4
VASP calculation (PBE-GGA) on TePt2Br after structural relaxation. Values from VASP.

Cell and atoms, written as Quantum ESPRESSO input:
```
&SYSTEM
  ibrav = 0, nat = 4, ntyp = 3
/
ATOMIC_SPECIES
Te 127.60 Te.upf
Pt 195.08 Pt.upf
Br 79.90 Br.upf
CELL_PARAMETERS angstrom
7.958 0.056 -0.025
6.286 4.880 0.025
-7.131 -2.442 2.553
ATOMIC_POSITIONS angstrom
Te 7.182 2.489 0.000
Pt 13.417 4.650 0.000
Pt 4.787 0.323 1.264
Br 3.092 2.437 1.289
```

## Properties
N(E_F) in states/eV per atom: 0.717
Polymorph energy (0 for the lowest one) in meV per atom: 386.0
Raw total energy in eV/atom: -4.054
Formation energy (no corrections) in meV/atom: 170
Theoretical density in g/cm3: 10.103

- The highest raw total energy belongs to which entry?
  GaSi2Ag

- What is the N(E_F) in the fourth record?
  0.717 states/eV per atom

- Which of these has the lowest theoretical density?
  GaSi2Ag

- Among the records above, which one has the highest theoretical density?
  Cd2Pd7Pt2